{
  "formula": "OsPtSe4",
  "functional": "PBE",
  "state": "optimized geometry",
  "sg": "F-43m",
  "de_polymorph_mev_per_atom": 1677,
  "dos_ef_per_ev_atom": 1.334,
  "raw_formation_energy_ev_per_atom": 1.508,
  "lattice": [[0.000, 3.879, 3.879], [3.879, 0.000, 3.879], [3.879, 3.879, 0.000]],
  "species": ["Os", "Pt", "Se", "Se", "Se", "Se"],
  "frac_coords": [[0.000, 0.000, 0.000], [0.750, 0.750, 0.750], [0.375, 0.375, 0.375], [0.375, 0.375, 0.875], [0.375, 0.875, 0.375], [0.875, 0.375, 0.375]]
}

***

{
  "formula": "Ac2ErTm",
  "functional": "PBE",
  "state": "optimized geometry",
  "sg": "P4/mmm",
  "e_form_ev_per_atom": 0.058,
  "de_polymorph_mev_per_atom": 0,
  "dos_ef_per_ev_atom": 1.264,
  "lattice": [[3.893, 0.000, 0.000], [0.000, 3.893, 0.000], [0.000, 0.000, 9.756]],
  "species": ["Ac", "Ac", "Er", "Tm"],
  "frac_coords": [[0.000, 0.000, 0.249], [0.000, 0.000, 0.751], [0.500, 0.500, 0.500], [0.500, 0.500, 0.000]]
}